The following is a PBE calculation of LiCu8Ni4 after structural relaxation, from the Alexandria database.

Its calculated density is 7.3 g/cm³. Its energy above the most stable polymorph in this dataset is 0.0854 eV per atom. For the magnetic moment, the calculation gives 0.0 μB/cell. As for the symmetry: Pm-3m.

abc: 5.5478 5.5478 5.5478
angles: 90.02 90.02 90.02
With the nearest neighbours (Å) after each atom.
Fractional coordinates of all 13 atoms:
Li: 0.5000 0.5000 0.5000  8 Cu 2.46
Cu: 0.2436 0.7562 0.2436  4 Ni 2.34-2.42, 1 Li 2.46
Cu: 0.7564 0.7564 0.2438  4 Ni 2.34-2.42, 1 Li 2.46
Cu: 0.7564 0.2438 0.7564  4 Ni 2.34-2.42, 1 Li 2.46
Cu: 0.2438 0.7564 0.7564  4 Ni 2.34-2.42, 1 Li 2.46
Cu: 0.7563 0.7563 0.7563  4 Ni 2.34-2.42, 1 Li 2.46
Cu: 0.2437 0.2437 0.2437  4 Ni 2.34-2.42, 1 Li 2.46
Cu: 0.7562 0.2436 0.2436  4 Ni 2.34-2.42, 1 Li 2.46
Cu: 0.2436 0.2436 0.7562  4 Ni 2.34-2.42, 1 Li 2.46
Ni: 0.5000 0.0000 0.5000  8 Cu 2.42
Ni: 0.0000 0.5000 0.5000  8 Cu 2.42
Ni: 0.5000 0.5000 0.0000  8 Cu 2.42
Ni: 0.0000 0.0000 0.0000  8 Cu 2.34



The following is a PBE calculation of CsFe3P after structural relaxation, from the Alexandria database.

Its calculated density is 5.7 g/cm³. Its energy above the most stable polymorph in this dataset is 0.0000 eV per atom. For the magnetic moment, the calculation gives 8.0 μB/cell. As for the symmetry: Pm-3m.

abc: 4.5901 4.5901 4.5901
angles: 90.00 90.00 90.00
With the nearest neighbours (Å) after each atom.
Fractional coordinates of all 5 atoms:
Cs: 0.5000 0.5000 0.5000  12 Fe 3.25
P: 0.0000 0.0000 0.0000  6 Fe 2.30
Fe: 0.0000 0.5000 0.0000  2 P 2.30
Fe: 0.0000 0.0000 0.5000  2 P 2.30
Fe: 0.5000 0.0000 0.0000  2 P 2.30



The following is a PBE calculation of Na2TlCuCl6 after structural relaxation, from the Alexandria database.

Its calculated density is 3.3 g/cm³. The value obtained for the uncorrected formation energy is -0.970 eV/atom. Its energy above the most stable polymorph in this dataset is 0.0966 eV per atom. For the magnetic moment, the calculation gives 0.0 μB/cell. As for the symmetry: Fm-3m.

abc: 7.2242 7.2242 7.2242
angles: 60.00 60.00 60.00
With the nearest neighbours (Å) after each atom.
Fractional coordinates of all 10 atoms:
Na: 0.7500 0.7500 0.7500  12 Cl 3.61
Na: 0.2500 0.2500 0.2500  12 Cl 3.61
Tl: 0.0000 0.0000 0.0000  6 Cl 2.68
Cu: 0.5000 0.5000 0.5000  6 Cl 2.43
Cl: 0.2624 0.7376 0.2624  1 Cu 2.43, 1 Tl 2.68
Cl: 0.7376 0.2624 0.2624  1 Cu 2.43, 1 Tl 2.68
Cl: 0.7376 0.2624 0.7376  1 Cu 2.43, 1 Tl 2.68
Cl: 0.2624 0.2624 0.7376  1 Cu 2.43, 1 Tl 2.68
Cl: 0.7376 0.7376 0.2624  1 Cu 2.43, 1 Tl 2.68
Cl: 0.2624 0.7376 0.7376  1 Cu 2.43, 1 Tl 2.68



The following is a PBE calculation of Sr2InB2Rh5 after structural relaxation, from the Alexandria database.

Its calculated density is 8.6 g/cm³. For the magnetic moment, the calculation gives 0.0 μB/cell. As for the total energy: -6.042 eV per atom. As for the symmetry: P4/mbm.

abc: 3.0746 10.1820 10.1820
angles: 90.00 90.00 90.00
With the nearest neighbours (Å) after each atom.
Fractional coordinates of all 20 atoms:
Sr: 0.0000 0.6792 0.1792  3 B 2.90-3.10, 10 Rh 3.00-3.08, 2 Sr 3.07
Sr: 0.0000 0.3208 0.8208  3 B 2.90-3.10, 10 Rh 3.00-3.08, 2 Sr 3.07
Sr: 0.0000 0.1792 0.3208  3 B 2.90-3.10, 10 Rh 3.00-3.08, 2 Sr 3.07
Sr: 0.0000 0.8208 0.6792  3 B 2.90-3.10, 10 Rh 3.00-3.08, 2 Sr 3.07
In: 0.0000 0.0000 0.0000  8 Rh 2.91, 2 In 3.07
In: 0.0000 0.5000 0.5000  8 Rh 2.91, 2 In 3.07
B: 0.0000 0.1192 0.6192  6 Rh 2.21-2.30
B: 0.0000 0.8808 0.3808  6 Rh 2.21-2.30
B: 0.0000 0.6192 0.8808  6 Rh 2.21-2.30
B: 0.0000 0.3808 0.1192  6 Rh 2.21-2.30
Rh: 0.5000 0.2329 0.0683  2 B 2.21
Rh: 0.5000 0.7671 0.9317  2 B 2.21
Rh: 0.5000 0.0683 0.7671  2 B 2.21
Rh: 0.5000 0.7329 0.4317  2 B 2.21
Rh: 0.5000 0.9317 0.2329  2 B 2.21
Rh: 0.5000 0.2671 0.5683  2 B 2.21
Rh: 0.5000 0.5683 0.7329  2 B 2.21
Rh: 0.5000 0.4317 0.2671  2 B 2.21
Rh: 0.5000 0.5000 0.0000  4 B 2.30
Rh: 0.5000 0.0000 0.5000  4 B 2.30



The following is a PBE calculation of K2TaTl after structural relaxation, from the Alexandria database.

Its calculated density is 4.8 g/cm³. Its energy above the most stable polymorph in this dataset is 0.0290 eV per atom. For the magnetic moment, the calculation gives 1.3 μB/cell. As for the symmetry: P4mm.

abc: 3.9480 3.9480 10.3927
angles: 90.00 90.00 90.00
With the nearest neighbours (Å) after each atom.
Fractional coordinates of all 4 atoms:
K: 0.0000 0.0000 0.9303  1 Ta 3.43
K: 0.5000 0.5000 0.3204  1 Tl 3.42
Ta: 0.0000 0.0000 0.6000  4 Tl 2.84
Tl: 0.5000 0.5000 0.6492  4 Ta 2.84



The following is a PBE calculation of BaMoCl2 after structural relaxation, from the Alexandria database.

Its calculated density is 3.7 g/cm³. The value obtained for the uncorrected formation energy is -0.537 eV/atom. Its energy above the most stable polymorph in this dataset is 0.0000 eV per atom. For the magnetic moment, the calculation gives 4.0 μB/cell. As for the symmetry: C2/m.

abc: 5.4694 5.4694 5.6921
angles: 90.04 90.04 53.47
With the nearest neighbours (Å) after each atom.
Fractional coordinates of all 4 atoms:
Mo: 0.7500 0.7500 0.7500  2 Cl 2.43
Ba: 0.2500 0.2500 0.2500  6 Cl 3.21-3.36
Cl: 0.9261 0.9261 0.0519  1 Mo 2.43
Cl: 0.5739 0.5739 0.4481  1 Mo 2.43



The following is a PBE calculation of CaSm2DyTe4 after structural relaxation, from the Alexandria database.

Its calculated density is 6.8 g/cm³. The value obtained for the uncorrected formation energy is -1.412 eV/atom. For the magnetic moment, the calculation gives 0.0 μB/cell. As for the symmetry: P2/m.

abc: 4.3944 7.7226 7.6584
angles: 71.07 90.00 90.00
With the nearest neighbours (Å) after each atom.
Fractional coordinates of all 8 atoms:
Ca: 0.5000 0.5000 0.0000  6 Te 3.11-3.12
Sm: 0.0000 0.0000 0.0000  6 Te 3.16-3.17
Sm: 0.5000 0.0000 0.5000  6 Te 3.15
Dy: 0.0000 0.5000 0.5000  6 Te 3.10
Te: 0.0000 0.7450 0.7497  1 Dy 3.10, 2 Ca 3.12, 3 Sm 3.15-3.16
Te: 0.0000 0.2550 0.2503  1 Dy 3.10, 2 Ca 3.12, 3 Sm 3.15-3.16
Te: 0.5000 0.7432 0.2534  2 Dy 3.10, 1 Ca 3.11, 3 Sm 3.15-3.17
Te: 0.5000 0.2568 0.7466  2 Dy 3.10, 1 Ca 3.11, 3 Sm 3.15-3.17



The following is a PBE calculation of Ba3In6Ag5 after structural relaxation, from the Alexandria database.

Its calculated density is 7.1 g/cm³. For the magnetic moment, the calculation gives 0.0 μB/cell. As for the total energy: -2.887 eV per atom. As for the symmetry: Pmmn.

abc: 5.0245 10.1525 15.0116
angles: 90.00 90.00 90.00
With the nearest neighbours (Å) after each atom.
Fractional coordinates of all 28 atoms:
Ba: 0.0000 0.2447 0.7055  8 In 3.48-3.64, 5 Ag 3.49-3.79
Ba: 0.5000 0.7553 0.2055  8 In 3.48-3.64, 5 Ag 3.49-3.79
Ba: 0.5000 0.7553 0.7945  8 In 3.48-3.64, 5 Ag 3.49-3.79
Ba: 0.0000 0.2670 0.0000  6 Ag 3.43-3.73, 2 In 3.67
Ba: 0.5000 0.7330 0.5000  6 Ag 3.43-3.73, 2 In 3.67
Ba: 0.0000 0.2447 0.2945  8 In 3.48-3.64, 5 Ag 3.49-3.79
In: 0.0000 0.9730 0.8576  4 Ag 2.93-3.19
In: 0.5000 0.0270 0.6424  4 Ag 2.93-3.19
In: 0.5000 0.4082 0.8291  4 Ag 2.92-3.06, 1 In 3.14
In: 0.5000 0.5860 0.0000  6 Ag 3.12-3.18, 2 In 3.14
In: 0.0000 0.4140 0.5000  6 Ag 3.12-3.18, 2 In 3.14
In: 0.0000 0.5918 0.6709  4 Ag 2.92-3.06, 1 In 3.14
In: 0.0000 0.5918 0.3291  4 Ag 2.92-3.06, 1 In 3.14
In: 0.5000 0.9447 0.0000  4 Ag 2.94-3.09
In: 0.0000 0.9730 0.1424  4 Ag 2.93-3.19
In: 0.5000 0.4082 0.1709  4 Ag 2.92-3.06, 1 In 3.14
In: 0.0000 0.0553 0.5000  4 Ag 2.94-3.09
In: 0.5000 0.0270 0.3576  4 Ag 2.93-3.19
Ag: 0.0000 0.5470 0.8724  1 Ag 2.95, 5 In 2.95-3.18
Ag: 0.0000 0.8788 0.6549  5 In 2.92-3.19
Ag: 0.0000 0.7676 0.0000  2 Ag 2.95, 6 In 2.99-3.12
Ag: 0.5000 0.4530 0.6276  1 Ag 2.95, 5 In 2.95-3.18
Ag: 0.5000 0.2324 0.5000  2 Ag 2.95, 6 In 2.99-3.12
Ag: 0.0000 0.5470 0.1276  1 Ag 2.95, 5 In 2.95-3.18
Ag: 0.5000 0.4530 0.3724  1 Ag 2.95, 5 In 2.95-3.18
Ag: 0.0000 0.8788 0.3451  5 In 2.92-3.19
Ag: 0.5000 0.1212 0.8451  5 In 2.92-3.19
Ag: 0.5000 0.1212 0.1549  5 In 2.92-3.19



The following is a PBE calculation of Ac2SiPt4Au2 after structural relaxation, from the Alexandria database.

Its calculated density is 14.4 g/cm³. The value obtained for the uncorrected formation energy is -0.814 eV/atom. For the magnetic moment, the calculation gives 0.0 μB/cell. As for the symmetry: I4/mmm.

abc: 6.4219 6.4219 6.4219
angles: 92.48 118.58 118.58
With the nearest neighbours (Å) after each atom.
Fractional coordinates of all 9 atoms:
Ac: 0.5000 0.7500 0.2500  8 Pt 3.21, 4 Au 3.30
Ac: 0.5000 0.2500 0.7500  8 Pt 3.21, 4 Au 3.30
Si: 0.0000 0.0000 0.0000  4 Pt 2.41, 2 Au 2.59
Pt: 0.0000 0.7403 0.2597  1 Si 2.41
Pt: 0.4807 0.7403 0.7403  1 Si 2.41
Pt: 0.0000 0.2597 0.7403  1 Si 2.41
Pt: 0.5193 0.2597 0.2597  1 Si 2.41
Au: 0.0000 0.7084 0.7084  1 Si 2.59, 4 Pt 2.90
Au: 0.0000 0.2916 0.2916  1 Si 2.59, 4 Pt 2.90



The following is a PBE calculation of HoSiPt2 after structural relaxation, from the Alexandria database.

Its calculated density is 13.8 g/cm³. The value obtained for the uncorrected formation energy is -1.186 eV/atom. For the magnetic moment, the calculation gives 0.0 μB/cell. As for the symmetry: Pnma.

abc: 5.5116 6.9792 7.2972
angles: 90.00 90.00 90.00
With the nearest neighbours (Å) after each atom.
Fractional coordinates of all 16 atoms:
Ho: 0.3647 0.7500 0.0258  3 Si 2.95-2.98, 8 Pt 2.99-3.13
Ho: 0.1353 0.7500 0.5258  3 Si 2.95-2.98, 8 Pt 2.99-3.13
Ho: 0.6353 0.2500 0.9742  3 Si 2.95-2.98, 8 Pt 2.99-3.13
Ho: 0.8647 0.2500 0.4742  3 Si 2.95-2.98, 8 Pt 2.99-3.13
Si: 0.6352 0.7500 0.3800  6 Pt 2.48-2.62
Si: 0.8648 0.7500 0.8800  6 Pt 2.48-2.62
Si: 0.3648 0.2500 0.6200  6 Pt 2.48-2.62
Si: 0.1352 0.2500 0.1200  6 Pt 2.48-2.62
Pt: 0.9083 0.5507 0.1818  3 Si 2.48-2.62, 1 Pt 2.78
Pt: 0.5917 0.9493 0.6818  3 Si 2.48-2.62, 1 Pt 2.78
Pt: 0.0917 0.0507 0.8182  3 Si 2.48-2.62, 1 Pt 2.78
Pt: 0.4083 0.4493 0.3182  3 Si 2.48-2.62, 1 Pt 2.78
Pt: 0.0917 0.4493 0.8182  3 Si 2.48-2.62, 1 Pt 2.78
Pt: 0.4083 0.0507 0.3182  3 Si 2.48-2.62, 1 Pt 2.78
Pt: 0.9083 0.9493 0.1818  3 Si 2.48-2.62, 1 Pt 2.78
Pt: 0.5917 0.5507 0.6818  3 Si 2.48-2.62, 1 Pt 2.78